Entry 1:
Cu2Rh8W PBE optimized geometry; crystal system = orthorhombic; calculated formation energy = 0.128 eV/atom
1.0
3.910 -5.099 0.000
3.910 5.099 0.000
0.000 0.000 4.044
Cu Rh W
2 8 1
direct
0.115 0.885 0.000
0.885 0.115 0.000
0.168 0.168 0.500
0.201 0.463 0.000
0.246 0.754 0.500
0.463 0.201 0.000
0.537 0.799 0.000
0.754 0.246 0.500
0.799 0.537 0.000
0.832 0.832 0.500
0.500 0.500 0.500

Entry 2:
Cu2RhW PBE optimized geometry; ΔE to the lowest computed polymorph = 41 meV/atom; crystal system = monoclinic; calculated formation energy = 0.108 eV/atom
1.0
8.817 0.000 0.000
0.000 2.748 0.000
-0.892 0.000 4.525
Cu Rh W
4 2 2
direct
0.000 0.000 0.000
0.245 0.500 0.208
0.500 0.500 0.000
0.745 0.000 0.208
0.253 0.000 0.711
0.753 0.500 0.711
0.499 0.000 0.494
0.999 0.500 0.494

Entry 3:
Cu2RhW PBE optimized geometry; ΔE to the lowest computed polymorph = 28 meV/atom; crystal system = monoclinic; calculated formation energy = 0.094 eV/atom
1.0
2.722 0.000 0.000
0.000 3.801 0.000
-0.025 0.000 5.326
Cu Rh W
2 1 1
direct
0.000 0.000 0.000
0.499 0.500 0.219
0.998 0.000 0.494
0.499 0.500 0.726

Entry 4:
Cu2RhW PBE optimized geometry; ΔE to the lowest computed polymorph = 131 meV/atom; crystal system = monoclinic; calculated formation energy = 0.198 eV/atom
1.0
2.711 0.000 0.000
0.000 3.970 0.000
-0.017 0.000 5.093
Cu Rh W
2 1 1
direct
0.000 0.000 0.250
0.000 0.000 0.750
0.500 0.500 0.000
0.500 0.500 0.500